No. 1
A plane-wave DFT calculation with PBE was carried out for an optimized crystal structure of LiZnFeAs.

Output
Its energy above the most stable polymorph in this dataset is 0.199 eV/atom. As for the size of the total moment: 1.85 μB per cell. Its mass density is 6.63 g/cm3.

a b c (Å): 4.1584 4.1584 4.1584
angles (deg): 60.00 60.00 60.00
Sites, in units of the cell vectors:
Li1 0.0000 0.0000 0.0000
Zn1 0.2500 0.2500 0.2500
Fe1 0.7500 0.7500 0.7500
As1 0.5000 0.5000 0.5000



No. 2
A plane-wave DFT calculation with PBE was carried out for an optimized crystal structure of LiZnFeAs.

Output
Its energy above the most stable polymorph in this dataset is 0.000 eV/atom. As for the size of the total moment: 1.51 μB per cell. Its mass density is 6.74 g/cm3.

a b c (Å): 4.1366 4.1366 4.1366
angles (deg): 60.00 60.00 60.00
Sites, in units of the cell vectors:
Li1 0.0000 0.0000 0.0000
Zn1 0.7500 0.7500 0.7500
Fe1 0.5000 0.5000 0.5000
As1 0.2500 0.2500 0.2500



No. 3
A plane-wave DFT calculation with PBE was carried out for an optimized crystal structure of LiZrFeAs.

Output
Its energy above the most stable polymorph in this dataset is 0.360 eV/atom. As for the size of the total moment: 1.92 μB per cell. Its mass density is 6.37 g/cm3.

a b c (Å): 4.3864 4.3864 4.3864
angles (deg): 60.00 60.00 60.00
Sites, in units of the cell vectors:
Li1 0.0000 0.0000 0.0000
Zr1 0.7500 0.7500 0.7500
Fe1 0.2500 0.2500 0.2500
As1 0.5000 0.5000 0.5000



No. 4
A plane-wave DFT calculation with PBE was carried out for an optimized crystal structure of LiZrFeAs.

Output
Its energy above the most stable polymorph in this dataset is 0.000 eV/atom. As for the size of the total moment: 0.00 μB per cell. Its mass density is 6.95 g/cm3.

a b c (Å): 4.2616 4.2616 4.2616
angles (deg): 60.00 60.00 60.00
Sites, in units of the cell vectors:
Li1 0.0000 0.0000 0.0000
Zr1 0.7500 0.7500 0.7500
Fe1 0.5000 0.5000 0.5000
As1 0.2500 0.2500 0.2500



How do the records compare in DFT total energy? In the order shown, they have -15.67; -16.46; -23.76; -25.20 eV/f.u..